[1]
The following is a PBE calculation of a relaxed structure of TlAgPtRh, from Alexandria.

Cell and atoms, written as CIF:
```
data_TlAgPtRh
_space_group_name_H-M_alt 'F -4 3 m'
_space_group_IT_number 216
_space_group_name_Hall 'F -4 2 3'
_cell_length_a 6.520
_cell_length_b 6.520
_cell_length_c 6.520
_cell_angle_alpha 90.00
_cell_angle_beta 90.00
_cell_angle_gamma 90.00
loop_
_atom_site_label
_atom_site_fract_x
_atom_site_fract_y
_atom_site_fract_z
Tl1 0.000 0.000 0.000
Ag1 0.000 0.000 0.500
Pt1 0.250 0.250 0.750
Rh1 0.250 0.250 0.250
```

Computed properties:
Total magnetic moment ... 0.000 μB/atom
E ... -73.30 eV for the cell shown
Calculated formation energy ... 0.071 eV/atom

[2]
The following is a PBE calculation of a relaxed structure of UAgPtRh, from Alexandria.

Cell and atoms, written as CIF:
```
data_UAgPtRh
_space_group_name_H-M_alt 'F -4 3 m'
_space_group_IT_number 216
_space_group_name_Hall 'F -4 2 3'
_cell_length_a 6.655
_cell_length_b 6.655
_cell_length_c 6.655
_cell_angle_alpha 90.00
_cell_angle_beta 90.00
_cell_angle_gamma 90.00
loop_
_atom_site_label
_atom_site_fract_x
_atom_site_fract_y
_atom_site_fract_z
U1 0.000 0.000 0.000
Ag1 0.000 0.000 0.500
Pt1 0.250 0.250 0.750
Rh1 0.250 0.250 0.250
```

Computed properties:
Total magnetic moment ... 0.419 μB/atom
E ... -115.59 eV for the cell shown
Calculated formation energy ... -0.342 eV/atom

[3]
The following is a PBE calculation of a relaxed structure of YAgPtRh, from Alexandria.

Cell and atoms, written as CIF:
```
data_YAgPtRh
_space_group_name_H-M_alt 'F -4 3 m'
_space_group_IT_number 216
_space_group_name_Hall 'F -4 2 3'
_cell_length_a 6.653
_cell_length_b 6.653
_cell_length_c 6.653
_cell_angle_alpha 90.00
_cell_angle_beta 90.00
_cell_angle_gamma 90.00
loop_
_atom_site_label
_atom_site_fract_x
_atom_site_fract_y
_atom_site_fract_z
Y1 0.000 0.000 0.000
Ag1 0.000 0.000 0.500
Pt1 0.250 0.250 0.250
Rh1 0.250 0.250 0.750
```

Computed properties:
Total magnetic moment ... 0.000 μB/atom
E ... -99.06 eV for the cell shown
Calculated formation energy ... -0.514 eV/atom

The lowest calculated formation energy belongs to which entry? YAgPtRh

What is the formula in the first record? TlAgPtRh